VASP calculation (GGA-PBE) on a relaxed KIO3 crystal.

a = 4.6894 Å, b = 4.6894 Å, c = 4.6894 Å
α = 90.00°, β = 90.00°, γ = 90.00°
Fractional coordinates of all 5 atoms:
K 0.0000 0.0000 0.0000
I 0.5000 0.5000 0.5000
O 0.0000 0.0000 0.5000
O 0.0000 0.5000 0.0000
O 0.5000 0.0000 0.0000

Results
Spin magnetization (μB per formula unit): 6.00
Energy (eV per atom): -2.51
Formation energy without anion corrections (eV per atom): 0.99

VASP calculation (GGA-PBE) on a relaxed PmCu3Si3 crystal.

a = 8.1927 Å, b = 8.1927 Å, c = 8.1927 Å
α = 43.29°, β = 43.29°, γ = 43.29°
Fractional coordinates of all 14 atoms:
Pm 0.1775 0.1775 0.1775
Pm 0.8225 0.8225 0.8225
Cu 0.0768 0.2503 0.5766
Cu 0.2503 0.5766 0.0768
Cu 0.4234 0.9232 0.7497
Cu 0.5766 0.0768 0.2503
Cu 0.7497 0.4234 0.9232
Cu 0.9232 0.7497 0.4234
Si 0.2025 0.3743 0.6710
Si 0.3290 0.7975 0.6257
Si 0.3743 0.6710 0.2025
Si 0.6257 0.3290 0.7975
Si 0.6710 0.2025 0.3743
Si 0.7975 0.6257 0.3290

Results
Spin magnetization (μB per formula unit): 0.00
Energy (eV per atom): -4.90
Energy above the most stable polymorph in this dataset (meV/atom): 0
Formation energy without anion corrections (eV per atom): -0.15

VASP calculation (GGA-PBE) on a relaxed GaAg2Au9 crystal.

a = 4.1962 Å, b = 4.1962 Å, c = 12.2213 Å
α = 90.00°, β = 90.00°, γ = 90.00°
Fractional coordinates of all 12 atoms:
Ga 0.0000 0.0000 0.0000
Ag 0.0000 0.0000 0.3331
Ag 0.0000 0.0000 0.6669
Au 0.0000 0.5000 0.1634
Au 0.0000 0.5000 0.5000
Au 0.0000 0.5000 0.8366
Au 0.5000 0.0000 0.1634
Au 0.5000 0.0000 0.5000
Au 0.5000 0.0000 0.8366
Au 0.5000 0.5000 0.0000
Au 0.5000 0.5000 0.3322
Au 0.5000 0.5000 0.6678

Results
Energy of formation from the pure elements (eV/atom): -0.0475
Spin magnetization (μB per formula unit): 0.00
Energy (eV per atom): -3.23

VASP calculation (GGA-PBE) on a relaxed Ba2ZrRuS crystal.

a = 6.3482 Å, b = 6.3482 Å, c = 4.7993 Å
α = 90.00°, β = 90.00°, γ = 90.00°
Fractional coordinates of all 5 atoms:
Ba 0.0000 0.5000 0.0000
Ba 0.5000 0.0000 0.0000
Zr 0.0000 0.0000 0.0000
Ru 0.5000 0.5000 0.5000
S 0.0000 0.0000 0.5000

Results
Spin magnetization (μB per formula unit): 2.40
Energy (eV per atom): -4.44
Formation energy without anion corrections (eV per atom): 0.72

VASP calculation (GGA-PBE) on a relaxed HoEr5Ge4 crystal.

a = 7.9286 Å, b = 7.9286 Å, c = 6.8574 Å
α = 90.01°, β = 90.01°, γ = 35.94°
Fractional coordinates of all 10 atoms:
Ho 0.0000 0.0000 0.0000
Er 0.0000 0.0000 0.5000
Er 0.3352 0.3352 0.5070
Er 0.3351 0.3351 0.9940
Er 0.6649 0.6649 0.0060
Er 0.6648 0.6648 0.4930
Ge 0.1793 0.1793 0.2502
Ge 0.4892 0.4892 0.2509
Ge 0.5108 0.5108 0.7491
Ge 0.8207 0.8207 0.7498

Results
Energy of formation from the pure elements (eV/atom): -0.6267
Spin magnetization (μB per formula unit): 0.00
Energy (eV per atom): -5.21

VASP calculation (GGA-PBE) on a relaxed BaScCu2 crystal.

a = 5.1549 Å, b = 5.1549 Å, c = 3.4553 Å
α = 90.00°, β = 90.00°, γ = 90.00°
Fractional coordinates of all 4 atoms:
Ba 0.0000 0.0000 0.0000
Sc 0.5000 0.5000 0.0000
Cu 0.0000 0.5000 0.5000
Cu 0.5000 0.0000 0.5000

Results
Energy of formation from the pure elements (eV/atom): 0.1499
Spin magnetization (μB per formula unit): 0.00
Energy (eV per atom): -3.96
Energy above the most stable polymorph in this dataset (meV/atom): 191

VASP calculation (GGA-PBE) on a relaxed RbNd2TeSe4 crystal.

a = 7.8265 Å, b = 7.8265 Å, c = 16.0269 Å
α = 90.00°, β = 90.00°, γ = 147.22°
Fractional coordinates of all 16 atoms:
Rb 0.1619 0.8381 0.7500
Rb 0.8381 0.1619 0.2500
Nd 0.3684 0.6316 0.5554
Nd 0.3684 0.6316 0.9446
Nd 0.6316 0.3684 0.0554
Nd 0.6316 0.3684 0.4446
Te 0.0993 0.9007 0.2500
Te 0.9007 0.0993 0.7500
Se 0.0000 0.0000 0.0000
Se 0.0000 0.0000 0.5000
Se 0.2646 0.7354 0.0938
Se 0.2646 0.7354 0.4062
Se 0.4908 0.5092 0.7500
Se 0.5092 0.4908 0.2500
Se 0.7354 0.2646 0.5938
Se 0.7354 0.2646 0.9062

Results
Spin magnetization (μB per formula unit): 0.00
Energy (eV per atom): -4.67
Formation energy without anion corrections (eV per atom): -1.23

VASP calculation (GGA-PBE) on a relaxed Ca2TlHg crystal.

a = 10.4183 Å, b = 10.4183 Å, c = 10.4183 Å
α = 21.46°, β = 21.46°, γ = 21.46°
Fractional coordinates of all 4 atoms:
Ca 0.0000 0.0000 0.0000
Ca 0.2267 0.2267 0.2267
Tl 0.4786 0.4786 0.4786
Hg 0.7384 0.7384 0.7384

Results
Energy of formation from the pure elements (eV/atom): -0.1987
Spin magnetization (μB per formula unit): 0.00
Energy (eV per atom): -1.87